Record 1
Crystalline GdPaMn at its relaxed geometry, computed with PBE.

```
3
Lattice="4.059 0.000 0.000 -2.029 3.515 0.000 0.000 0.000 5.028" Properties=species:S:1:pos:R:3 pbc="T T T"
Gd 0.000 0.000 5.028
Pa 2.029 1.172 2.514
Mn 0.000 2.343 2.515
```

Calculated values
The calculation puts the energy relative to the elements at 66.0 meV per atom. For the offset from the most stable computed form, the calculation gives 0 meV per atom. Its volume is 23.9 Å³ per atom.

---

Record 2
Crystalline Cs2BeNbCl6 at its relaxed geometry, computed with PBE.

```
10
Lattice="6.879 0.000 0.000 0.000 6.879 0.000 3.439 3.439 5.690" Properties=species:S:1:pos:R:3 pbc="T T T"
Cl 4.988 4.988 0.000
Cl 4.988 1.891 0.000
Cl 1.891 4.988 0.000
Cs 3.439 6.879 2.845
Cl 6.879 6.879 2.573
Nb 0.000 0.000 0.000
Cl 3.439 3.439 3.116
Be 3.439 3.439 0.000
Cs 6.879 3.439 2.845
Cl 1.891 1.891 0.000
```

Calculated values
The calculation puts the formation energy (no corrections) at -12.80 eV per formula unit. Its volume is 26.9 Å³ per atom.

---

Record 3
Crystalline SmTlPd at its relaxed geometry, computed with PBE.

```
9
Lattice="7.940 0.000 0.000 -3.970 6.877 0.000 0.000 0.000 3.863" Properties=species:S:1:pos:R:3 pbc="T T T"
Pd 0.000 4.584 0.000
Pd 0.000 0.000 1.932
Tl 2.103 0.000 0.000
Sm 1.604 2.778 1.932
Tl 2.919 5.055 0.000
Pd 3.970 2.292 0.000
Sm 4.733 0.000 1.932
Tl -1.051 1.821 0.000
Sm -2.366 4.099 1.932
```

Calculated values
The calculation puts the energy relative to the elements at -649.0 meV per atom. For the offset from the most stable computed form, the calculation gives 0 meV per atom. Its volume is 23.4 Å³ per atom.

---

Record 4
Crystalline CrBr at its relaxed geometry, computed with PBE.

```
4
Lattice="5.984 0.000 0.000 0.000 4.388 0.247 0.000 1.519 4.212" Properties=species:S:1:pos:R:3 pbc="T T T"
Cr 2.992 1.641 1.207
Cr 0.000 2.789 2.138
Br 0.000 0.653 0.494
Br 2.992 3.777 2.851
```

Calculated values
The calculation puts the formation energy (no corrections) at 0.40 eV per formula unit. Its volume is 27.1 Å³ per atom.

---

Record 5
Crystalline Ga4I5 at its relaxed geometry, computed with PBE.

```
9
Lattice="3.722 1.181 1.172 5.097 12.672 -0.528 -0.041 -0.766 7.987" Properties=species:S:1:pos:R:3 pbc="T T T"
Ga 2.835 4.282 7.979
I 4.224 5.260 2.582
I 0.000 0.000 0.000
Ga 5.943 8.804 0.651
Ga 1.025 1.146 2.682
I 1.889 2.511 5.661
I 4.554 7.826 6.049
I 6.888 10.576 2.970
Ga 7.753 11.941 5.949
```

Calculated values
The calculation puts the formation energy (no corrections) at -2.66 eV per formula unit. Its volume is 35.9 Å³ per atom.

---

Record 6
Crystalline La3Sm7Mg at its relaxed geometry, computed with PBE.

```
11
Lattice="-2.998 -3.807 -3.467 3.076 -4.054 6.895 -5.292 3.660 5.660" Properties=species:S:1:pos:R:3 pbc="T T T"
La -1.499 -1.903 -1.734
La -3.505 2.013 5.923
Sm -4.078 -3.286 7.107
Sm -1.136 -0.915 1.980
Sm -6.046 -0.663 5.931
Sm -1.174 -5.154 6.650
La 1.289 -2.407 6.631
Sm -4.040 0.953 2.437
Sm 0.832 -3.538 3.156
Mg -2.607 -2.100 4.543
Sm -1.108 -0.197 6.277
```

Calculated values
The calculation puts the energy relative to the elements at 217.0 meV per atom. Its volume is 35.0 Å³ per atom.

---

Record 7
Crystalline AlH2I at its relaxed geometry, computed with PBE.

```
16
Lattice="-5.511 -3.286 -0.772 1.161 -0.949 -4.252 4.454 -8.170 2.977" Properties=species:S:1:pos:R:3 pbc="T T T"
H -1.992 -7.016 -1.059
I 0.870 -2.380 -1.830
Al 2.664 -4.979 0.611
H -1.216 -8.571 -2.877
H -1.643 -1.384 -0.480
I -0.828 -5.469 -3.608
Al -2.561 -7.425 -2.657
I 0.931 -6.935 1.562
Al 1.523 -9.582 1.298
Al -1.420 -2.822 -3.344
H 2.096 -5.388 -0.987
I -0.767 -10.025 -0.216
H -2.504 -3.106 -2.027
H 1.746 -11.021 -1.566
H 1.319 -3.834 0.831
H 2.607 -9.298 -0.019
```

Calculated values
For the offset from the most stable computed form, the calculation gives 0 meV per atom. Its volume is 17.8 Å³ per atom.

---

Record 8
Crystalline La2Sm4Sn3N2 at its relaxed geometry, computed with PBE.

```
11
Lattice="-3.341 -3.402 -1.006 3.277 -3.488 0.916 -3.585 3.316 12.495" Properties=species:S:1:pos:R:3 pbc="T T T"
Sn -1.254 -0.045 4.316
N -0.765 -3.472 2.480
Sn -2.394 -3.530 8.090
La -1.417 -3.495 4.726
La -2.231 -0.080 7.680
Sm -1.379 -1.852 10.847
Sm -2.269 -1.723 1.559
Sm 1.040 -1.766 2.519
Sm -4.688 -1.809 9.886
N -2.883 -0.103 9.926
Sn 0.000 0.000 0.000
```

Calculated values
The calculation puts the formation energy (no corrections) at -11.05 eV per formula unit. Its volume is 28.0 Å³ per atom.

---

Record 9
Crystalline CeTm2Au at its relaxed geometry, computed with PBE.

```
4
Lattice="3.644 0.000 0.000 1.822 3.156 0.000 1.822 1.052 9.886" Properties=species:S:1:pos:R:3 pbc="T T T"
Tm 1.822 1.052 7.841
Au 3.644 2.104 0.022
Ce 3.644 2.104 4.914
Tm 1.822 1.052 2.053
```

Calculated values
The calculation puts the energy relative to the elements at -239.6 meV per atom. For the offset from the most stable computed form, the calculation gives 144 meV per atom. Its volume is 28.4 Å³ per atom.

---

Record 10
Crystalline LaTa2CuIr at its relaxed geometry, computed with PBE.

```
5
Lattice="-1.379 -0.972 4.595 4.696 -0.263 1.354 -0.021 4.790 1.006" Properties=species:S:1:pos:R:3 pbc="T T T"
Cu 2.348 -0.132 0.677
Ta -0.690 -0.486 2.298
Ir 0.000 0.000 0.000
Ta -0.011 2.395 0.503
La 1.648 1.778 3.478
```

Calculated values
The calculation puts the energy relative to the elements at 580.2 meV per atom. Its volume is 23.5 Å³ per atom.

---

Record 11
Crystalline K2Zn2Ag at its relaxed geometry, computed with PBE.

```
5
Lattice="3.790 0.000 0.000 0.000 3.790 0.000 1.895 1.895 10.641" Properties=species:S:1:pos:R:3 pbc="T T T"
Zn 3.790 1.895 5.321
Zn 1.895 3.790 5.321
Ag 0.000 0.000 0.000
K 1.895 1.895 2.220
K 3.790 3.790 8.421
```

Calculated values
The calculation puts the energy relative to the elements at 125.7 meV per atom. For the offset from the most stable computed form, the calculation gives 77 meV per atom. Its volume is 30.6 Å³ per atom.

---

Record 12
Crystalline Mg2RuS2 at its relaxed geometry, computed with PBE.

```
5
Lattice="4.167 0.000 0.000 0.000 4.167 0.000 2.084 2.084 5.704" Properties=species:S:1:pos:R:3 pbc="T T T"
Ru 0.000 0.000 0.000
S 4.167 4.167 4.191
Mg 2.084 4.167 2.852
Mg 4.167 2.084 2.852
S 2.084 2.084 1.513
```

Calculated values
For the offset from the most stable computed form, the calculation gives 641 meV per atom. The calculation puts the formation energy (no corrections) at 0.56 eV per formula unit. Its volume is 19.8 Å³ per atom.

---

Record 13
Crystalline Sm2Rh7 at its relaxed geometry, computed with PBE.

```
18
Lattice="-4.425 -2.306 1.746 0.132 -3.040 4.323 -3.967 8.757 9.513" Properties=species:S:1:pos:R:3 pbc="T T T"
Rh -5.201 -0.346 6.381
Sm -3.587 7.178 8.391
Rh -4.974 5.213 10.284
Rh -2.146 -2.673 3.034
Sm -4.673 -3.768 7.191
Sm -5.412 -0.695 9.375
Rh -6.406 3.435 12.310
Rh -1.854 -0.024 3.272
Rh -2.212 -1.153 0.873
Rh -4.130 1.705 7.791
Rh -5.344 4.125 7.909
Rh -5.278 2.600 10.076
Rh -3.059 3.756 9.201
Rh 0.066 -1.520 2.161
Rh -2.916 -0.714 7.673
Rh -3.286 -1.803 5.298
Sm -2.848 4.106 6.208
Rh -2.982 0.810 5.506
```

Calculated values
The calculation puts the energy relative to the elements at -461.1 meV per atom. Its volume is 17.7 Å³ per atom.

---

Record 14
Crystalline GdPaMo at its relaxed geometry, computed with PBE.

```
3
Lattice="3.488 0.000 0.000 0.000 3.488 0.000 -1.744 -1.744 5.679" Properties=species:S:1:pos:R:3 pbc="T T T"
Gd 0.000 0.000 0.035
Mo 1.744 1.744 2.140
Pa 0.000 0.000 3.504
```

Calculated values
The calculation puts the energy relative to the elements at 110.0 meV per atom. Its volume is 23.0 Å³ per atom.

---

Record 15
Crystalline Sn2GeF at its relaxed geometry, computed with PBE.

```
4
Lattice="3.674 -2.263 -2.245 0.002 -4.849 -0.378 -0.720 -2.102 -4.327" Properties=species:S:1:pos:R:3 pbc="T T T"
F 0.000 0.000 0.000
Sn 2.217 -6.911 -5.213
Ge 1.478 -4.607 -3.475
Sn 0.739 -2.304 -1.738
```

Calculated values
For the offset from the most stable computed form, the calculation gives 0 meV per atom. The calculation puts the formation energy (no corrections) at -2.30 eV per formula unit. Its volume is 20.3 Å³ per atom.

---

Record 16
Crystalline GdDyHoCd at its relaxed geometry, computed with PBE.

```
4
Lattice="5.448 0.000 0.000 2.724 4.718 0.000 2.724 1.573 4.448" Properties=species:S:1:pos:R:3 pbc="T T T"
Cd 8.172 4.718 3.336
Gd 5.448 3.145 2.224
Ho 2.724 1.573 1.112
Dy 0.000 0.000 0.000
```

Calculated values
The calculation puts the energy relative to the elements at -31.8 meV per atom. Its volume is 28.6 Å³ per atom.

---

Record 17
Crystalline Li2ScMo at its relaxed geometry, computed with PBE.

```
4
Lattice="2.764 0.000 0.000 0.000 2.764 0.000 0.000 0.000 9.684" Properties=species:S:1:pos:R:3 pbc="T T T"
Mo 0.000 0.000 4.833
Li 0.000 0.000 0.072
Sc 1.382 1.382 7.048
Li 1.382 1.382 2.572
```

Calculated values
The calculation puts the energy relative to the elements at 228.9 meV per atom. For the offset from the most stable computed form, the calculation gives 2 meV per atom. Its volume is 18.5 Å³ per atom.

---

Record 18
Crystalline GdEr2In at its relaxed geometry, computed with PBE.

```
4
Lattice="4.795 0.000 0.000 0.000 4.843 0.000 0.000 0.000 4.843" Properties=species:S:1:pos:R:3 pbc="T T T"
Er 0.000 2.421 0.000
Gd 2.398 2.421 2.421
In 2.398 0.000 0.000
Er 0.000 0.000 2.421
```

Calculated values
The calculation puts the energy relative to the elements at -273.8 meV per atom. For the offset from the most stable computed form, the calculation gives 0 meV per atom. Its volume is 28.1 Å³ per atom.

---

Record 19
Crystalline Pr2TlZn at its relaxed geometry, computed with PBE.

```
4
Lattice="3.791 0.000 0.000 0.000 3.791 0.000 0.000 0.000 7.810" Properties=species:S:1:pos:R:3 pbc="T T T"
Zn 1.896 1.896 0.000
Pr 0.000 0.000 1.778
Pr 0.000 0.000 6.032
Tl 1.896 1.896 3.905
```

Calculated values
The calculation puts the energy relative to the elements at -347.5 meV per atom. Its volume is 28.1 Å³ per atom.

---

Record 20
Crystalline CdRe2Ag at its relaxed geometry, computed with PBE.

```
4
Lattice="2.989 0.000 0.000 0.000 2.989 0.000 0.000 0.000 7.828" Properties=species:S:1:pos:R:3 pbc="T T T"
Re 1.494 1.494 1.702
Cd 1.494 1.494 5.937
Re 0.000 0.000 0.274
Ag 0.000 0.000 3.829
```

Calculated values
The calculation puts the energy relative to the elements at 309.0 meV per atom. Its volume is 17.5 Å³ per atom.

---

Record 21
Crystalline SrBeP3 at its relaxed geometry, computed with PBE.

```
5
Lattice="4.524 0.000 0.000 0.000 4.524 0.000 0.000 0.000 4.524" Properties=species:S:1:pos:R:3 pbc="T T T"
P 0.000 2.262 0.000
P 2.262 0.000 0.000
Sr 2.262 2.262 2.262
Be 0.000 0.000 0.000
P 0.000 0.000 2.262
```

Calculated values
The calculation puts the energy relative to the elements at 2.2 meV per atom. For the offset from the most stable computed form, the calculation gives 0 meV per atom. Its volume is 18.5 Å³ per atom.

---

Record 22
Crystalline DyNiBiPd at its relaxed geometry, computed with PBE.

```
4
Lattice="-1.526 -3.782 2.550 -2.263 -3.629 -2.201 2.183 -4.260 -0.476" Properties=species:S:1:pos:R:3 pbc="T T T"
Pd 0.000 0.000 0.000
Ni -0.803 -5.836 -0.063
Dy -0.402 -2.918 -0.032
Bi -1.205 -8.754 -0.095
```

Calculated values
The calculation puts the energy relative to the elements at -491.7 meV per atom. Its volume is 19.7 Å³ per atom.

---

Record 23
Crystalline Rb2Hg4Pt at its relaxed geometry, computed with PBE.

```
7
Lattice="5.407 0.000 0.000 0.000 5.407 0.000 2.703 2.703 9.077" Properties=species:S:1:pos:R:3 pbc="T T T"
Pt 0.000 0.000 0.000
Hg 2.703 0.000 0.000
Hg 5.407 5.407 2.769
Hg 0.000 2.703 0.000
Rb 2.703 2.703 2.622
Rb 5.407 5.407 6.455
Hg 2.703 2.703 6.308
```

Calculated values
The calculation puts the energy relative to the elements at -244.8 meV per atom. For the offset from the most stable computed form, the calculation gives 3 meV per atom. Its volume is 37.9 Å³ per atom.

---

Record 24
Crystalline CsAsIr2 at its relaxed geometry, computed with PBE.

```
8
Lattice="7.670 0.000 0.000 0.000 7.670 0.000 3.835 3.835 3.743" Properties=species:S:1:pos:R:3 pbc="T T T"
Cs 7.670 3.835 1.871
As 3.835 7.670 1.871
Ir 9.588 8.607 2.807
Cs 0.000 0.000 0.000
Ir 4.771 1.918 0.936
Ir 5.753 6.734 2.807
Ir 2.899 5.753 0.936
As 3.835 3.835 0.000
```

Calculated values
The calculation puts the energy relative to the elements at 681.4 meV per atom. Its volume is 27.5 Å³ per atom.

---

Record 25
Crystalline Nb3AuN at its relaxed geometry, computed with PBE.

```
20
Lattice="-12.959 16.481 6.560 1.238 -1.161 5.363 6.957 -4.652 -2.613" Properties=species:S:1:pos:R:3 pbc="T T T"
Nb 1.042 0.204 5.410
Nb -2.309 4.085 4.074
N -6.411 11.736 5.553
N 1.647 -1.069 3.756
Nb -6.599 10.498 7.360
N -3.434 5.845 3.475
Nb 1.835 0.170 1.949
Nb -10.213 13.964 9.166
Nb -2.455 6.583 5.235
Nb 5.449 -3.296 0.143
Au -10.047 14.458 6.430
Au 5.283 -3.790 2.879
Nb -5.806 10.464 3.899
Au 0.118 3.697 2.742
Nb -8.484 11.075 4.970
Nb -4.778 7.522 3.567
Nb 3.720 -0.407 4.339
Nb 0.014 3.146 5.742
Au -4.882 6.971 6.567
N -1.330 4.823 5.834
```

Calculated values
The calculation puts the formation energy (no corrections) at -1.93 eV per formula unit. Its volume is 16.0 Å³ per atom.

---

Record 26
Crystalline KBaHgO2 at its relaxed geometry, computed with PBE.

```
5
Lattice="4.938 0.000 0.000 0.000 5.152 0.000 0.000 0.000 4.938" Properties=species:S:1:pos:R:3 pbc="T T T"
Ba 2.469 2.576 2.469
O 0.000 0.000 2.469
O 2.469 0.000 0.000
Hg 0.000 0.000 0.000
K 0.000 2.576 0.000
```

Calculated values
For the offset from the most stable computed form, the calculation gives 1042 meV per atom. The calculation puts the formation energy (no corrections) at -0.68 eV per formula unit. Its volume is 25.1 Å³ per atom.